[1]
The following is a DFT calculation (GGA-PBE) of a relaxed structure of CaPu2Cl8.

Unit cell a=3.9929 b=8.0358 c=10.7635 alpha=81.65 beta=100.69 gamma=90.00
Each line ends with the local moment (μB).
Fractional positions:
Cl1 0.9826 0.2328 0.9652  -0.01
Cl2 0.2435 0.3371 0.4869  -0.04
Cl3 0.0174 0.7672 0.0348  -0.01
Ca1 0.5000 0.0000 0.0000  0.00
Cl4 0.3866 0.5215 0.7733  -0.05
Pu1 0.1577 0.6592 0.3155  5.03
Cl5 0.7565 0.6629 0.5131  -0.04
Cl6 0.6134 0.4785 0.2267  -0.05
Pu2 0.8423 0.3408 0.6845  5.03
Cl7 0.3681 0.0745 0.7362  -0.03
Cl8 0.6319 0.9255 0.2638  -0.03

Total moment, μB per formula unit: 10.0
Electronic total energy, eV for the cell shown: -67.6
ΔE_f (raw), eV/atom: -2.014
Space-group type: C2/m (12)
Energy above the most stable polymorph in this dataset, kJ per mole of atoms: 0.0

[2]
The following is a DFT calculation (GGA-PBE) of a relaxed structure of Li2ZnTcN.

Unit cell a=3.8852 b=4.1734 c=3.8852 alpha=90.00 beta=90.00 gamma=90.00
Each line ends with the local moment (μB).
Fractional positions:
Li1 0.0000 0.0000 0.5000  0.00
N1 0.0000 0.0000 0.0000  0.24
Li2 0.5000 0.0000 0.0000  0.00
Zn1 0.0000 0.5000 0.0000  -0.04
Tc1 0.5000 0.5000 0.5000  2.33

Total moment, μB per formula unit: 2.8
Electronic total energy, eV for the cell shown: -21.1
ΔE_f (raw), eV/atom: 0.543
Space-group type: P4/mmm (123)
Energy above the most stable polymorph in this dataset, kJ per mole of atoms: 72.4

[3]
The following is a DFT calculation (GGA-PBE) of a relaxed structure of TlSiW.

Unit cell a=5.5292 b=5.5292 c=5.5292 alpha=145.01 beta=144.98 gamma=50.34
Fractional positions:
Si1 0.9630 0.9630 0.0000
Tl1 0.6676 0.6676 0.0000
W1 0.3693 0.3693 0.0000

Total moment, μB per formula unit: 0.0
Electronic total energy, eV for the cell shown: -19.2
ΔE_f (raw), eV/atom: 0.526
Space-group type: I4mm (107)
Energy above the most stable polymorph in this dataset, kJ per mole of atoms: 0.0

[4]
The following is a DFT calculation (GGA-PBE) of a relaxed structure of TbDy6YSc2.

Unit cell a=9.3619 b=8.6363 c=8.6363 alpha=117.84 beta=93.59 gamma=93.59
Fractional positions:
Sc1 0.5460 0.1957 0.3052
Dy1 0.6182 0.4979 0.7048
Dy2 0.8186 0.4371 0.9803
Y1 0.7500 0.0258 0.9742
Dy3 0.8818 0.2952 0.5021
Dy4 0.6814 0.0197 0.5629
Dy5 0.3818 0.5021 0.2952
Dy6 0.4463 0.2439 0.8797
Dy7 0.5537 0.7561 0.1203
Sc2 0.4540 0.8043 0.6948
Dy8 0.3186 0.9803 0.4371
Tb1 0.7500 0.5921 0.4079
Y2 0.2500 0.9742 0.0258
Dy9 0.1814 0.5629 0.0197
Dy10 0.0537 0.1203 0.7561
Sc3 0.9540 0.6948 0.8043
Dy11 0.9463 0.8797 0.2439
Dy12 0.1182 0.7048 0.4979
Sc4 0.0460 0.3052 0.1957
Tb2 0.2500 0.4079 0.5921

Total moment, μB per formula unit: 0.0
Electronic total energy, eV for the cell shown: -100.3
Space-group type: C2/c (15)

[5]
The following is a DFT calculation (GGA-PBE) of a relaxed structure of Ho2BiPt2.

Unit cell a=3.5179 b=8.0473 c=8.0473 alpha=90.00 beta=90.00 gamma=90.00
Fractional positions:
Ho1 0.0000 0.1644 0.1644
Ho2 0.0000 0.8356 0.8356
Ho3 0.0000 0.3356 0.6644
Bi1 0.5000 0.0000 0.5000
Pt1 0.5000 0.1271 0.8729
Pt2 0.5000 0.6271 0.6271
Ho4 0.0000 0.6644 0.3356
Bi2 0.5000 0.5000 0.0000
Pt3 0.5000 0.3729 0.3729
Pt4 0.5000 0.8729 0.1271

Total moment, μB per formula unit: 0.0
Electronic total energy, eV for the cell shown: -61.2
Space-group type: P4/mbm (127)

[6]
The following is a DFT calculation (GGA-PBE) of a relaxed structure of InH3Ru.

Unit cell a=3.7905 b=3.7905 c=3.7905 alpha=90.00 beta=90.00 gamma=90.00
Each line ends with the local moment (μB).
Fractional positions:
H1 0.0000 0.0000 0.5000  0.06
H2 0.0000 0.5000 0.0000  0.05
In1 0.0000 0.0000 0.0000  0.02
Ru1 0.5000 0.5000 0.5000  1.95
H3 0.5000 0.0000 0.0000  0.03

Total moment, μB per formula unit: 2.2
Electronic total energy, eV for the cell shown: -16.3
Space-group type: Pm-3m (221)